Here is a geometry-optimized MgBi2PI structure from Alexandria. Energies are from PBE-GGA.

a = 5.680 Å, b = 5.680 Å, c = 4.859 Å
α = 90.00°, β = 90.00°, γ = 90.00°
Space group P4/mmm (No. 123)
Inequivalent atoms, fractional coordinates:
Mg1 0.000 0.000 0.000 x1
Bi1 0.000 0.500 0.500 x2
P1 0.000 0.000 0.500 x1
I1 0.500 0.500 0.000 x1

Its raw formation energy is 1.20 eV/f.u. The value obtained for the energy relative to the lowest polymorph listed for this composition is 0 meV per atom.

---

Here is a geometry-optimized Li3Er2NpTe6 structure from Alexandria. Energies are from PBE-GGA.

a = 7.540 Å, b = 13.028 Å, c = 7.480 Å
α = 90.00°, β = 109.51°, γ = 90.00°
Space group C2/m (No. 12)
Inequivalent atoms, fractional coordinates:
Li1 0.000 0.000 0.000 x2
Li2 0.000 0.333 0.000 x4
Er1 0.000 0.166 0.500 x4
Np1 0.000 0.500 0.500 x2
Te1 0.245 0.170 0.245 x8
Te2 0.246 0.000 0.756 x4

Its raw formation energy is -13.28 eV/f.u.